An optimized crystal structure of AlNiSe2. Source: Alexandria via LeMat-Bulk, functional PBE.

**Calculated total energy**: -4.461 eV/atom
**Magnetization**: 0.49 μB/f.u.
**ρ**: 5.83 Mg/m³
**Space group**: R-3m
**Formation energy (no corrections)**: -338 meV/atom

Unit cell a=6.308 b=6.308 c=6.308 alpha=33.85 beta=33.85 gamma=33.85
Element x y z (fractional)
Al 0.000 0.000 0.000
Ni 0.500 0.500 0.500
Se 0.246 0.246 0.246
Se 0.754 0.754 0.754

***

An optimized crystal structure of AcMg4Al2. Source: Alexandria via LeMat-Bulk, functional PBE.

**Calculated total energy**: -2.742 eV/atom
**ΔE_f**: -0.1750 eV per atom
**Magnetization**: 0.00 μB/f.u.
**ρ**: 3.62 Mg/m³
**Space group**: Cmmm

Unit cell a=8.536 b=8.536 c=4.593 alpha=90.00 beta=90.00 gamma=148.77
Element x y z (fractional)
Ac 0.000 0.000 0.000
Mg 0.182 0.818 0.500
Mg 0.317 0.683 0.000
Mg 0.683 0.317 0.000
Mg 0.818 0.182 0.500
Al 0.421 0.579 0.500
Al 0.579 0.421 0.500

***

An optimized crystal structure of K3ReRh3Se8. Source: Alexandria via LeMat-Bulk, functional PBE.

**Calculated total energy**: -4.945 eV/atom
**Magnetization**: 2.84 μB/f.u.
**ρ**: 5.51 Mg/m³
**Space group**: R-3m
**Formation energy (no corrections)**: -567 meV/atom

Unit cell a=8.609 b=8.609 c=8.609 alpha=52.78 beta=52.78 gamma=52.78
Element x y z (fractional)
K 0.000 0.500 0.500
K 0.500 0.000 0.500
K 0.500 0.500 0.000
Re 0.500 0.500 0.500
Rh 0.000 0.000 0.500
Rh 0.000 0.500 0.000
Rh 0.500 0.000 0.000
Se 0.219 0.727 0.727
Se 0.222 0.222 0.222
Se 0.273 0.273 0.781
Se 0.273 0.781 0.273
Se 0.727 0.219 0.727
Se 0.727 0.727 0.219
Se 0.778 0.778 0.778
Se 0.781 0.273 0.273

***

An optimized crystal structure of CeSc2Tl. Source: Alexandria via LeMat-Bulk, functional PBE.

**Calculated total energy**: -5.367 eV/atom
**ΔE_f**: -0.1260 eV per atom
**Magnetization**: 0.26 μB/f.u.
**Polymorph energy (0 for the lowest one)**: 0 meV/atom
**ρ**: 7.26 Mg/m³
**Space group**: P4/mmm

Unit cell a=3.407 b=3.407 c=8.562 alpha=90.00 beta=90.00 gamma=90.00
Element x y z (fractional)
Ce 0.000 0.000 0.000
Sc 0.500 0.500 0.265
Sc 0.500 0.500 0.735
Tl 0.000 0.000 0.500

***

An optimized crystal structure of CsY2Zn. Source: Alexandria via LeMat-Bulk, functional PBE.

**Calculated total energy**: -3.044 eV/atom
**ΔE_f**: 0.7196 eV per atom
**Magnetization**: 0.06 μB/f.u.
**ρ**: 2.99 Mg/m³
**Space group**: I4_1/amd

Unit cell a=10.105 b=10.105 c=10.105 alpha=140.30 beta=140.30 gamma=57.40
Element x y z (fractional)
Cs 0.375 0.625 0.750
Cs 0.625 0.375 0.250
Y 0.000 0.000 0.000
Y 0.000 0.000 0.500
Y 0.000 0.500 0.000
Y 0.500 0.000 0.500
Zn 0.125 0.875 0.250
Zn 0.875 0.125 0.750

***

An optimized crystal structure of K2Tl5Pt3. Source: Alexandria via LeMat-Bulk, functional PBE.

**Calculated total energy**: -3.364 eV/atom
**ΔE_f**: -0.1491 eV per atom
**Magnetization**: 0.00 μB/f.u.
**ρ**: 10.79 Mg/m³
**Space group**: Cmc2_1

Unit cell a=14.055 b=14.055 c=7.697 alpha=90.00 beta=90.00 gamma=160.05
Element x y z (fractional)
K 0.022 0.978 0.500
K 0.326 0.674 0.532
K 0.674 0.326 0.032
K 0.978 0.022 0.000
Tl 0.097 0.903 0.867
Tl 0.206 0.794 0.323
Tl 0.210 0.790 0.743
Tl 0.378 0.622 0.007
Tl 0.451 0.549 0.668
Tl 0.549 0.451 0.168
Tl 0.622 0.378 0.507
Tl 0.790 0.210 0.243
Tl 0.794 0.206 0.823
Tl 0.903 0.097 0.367
Pt 0.107 0.893 0.237
Pt 0.275 0.725 0.037
Pt 0.450 0.550 0.289
Pt 0.550 0.450 0.789
Pt 0.725 0.275 0.537
Pt 0.893 0.107 0.737

***

An optimized crystal structure of TlP2Au. Source: Alexandria via LeMat-Bulk, functional PBE.

**Calculated total energy**: -3.427 eV/atom
**ΔE_f**: 0.6885 eV per atom
**Magnetization**: 0.00 μB/f.u.
**Polymorph energy (0 for the lowest one)**: 718 meV/atom
**ρ**: 9.74 Mg/m³
**Space group**: F-43m

Unit cell a=4.817 b=4.817 c=4.817 alpha=60.00 beta=60.00 gamma=60.00
Element x y z (fractional)
Tl 0.000 0.000 0.000
P 0.250 0.250 0.250
P 0.500 0.500 0.500
Au 0.750 0.750 0.750

***

An optimized crystal structure of ScRe2IrO. Source: Alexandria via LeMat-Bulk, functional PBE.

**Calculated total energy**: -8.888 eV/atom
**Magnetization**: 0.00 μB/f.u.
**ρ**: 14.26 Mg/m³
**Space group**: P4/mmm
**Formation energy (no corrections)**: 122 meV/atom

Unit cell a=4.068 b=4.068 c=4.402 alpha=90.00 beta=90.00 gamma=90.00
Element x y z (fractional)
Sc 0.000 0.000 0.000
Re 0.000 0.500 0.500
Re 0.500 0.000 0.500
Ir 0.500 0.500 0.000
O 0.500 0.500 0.500

***

An optimized crystal structure of Zn4TcAs. Source: Alexandria via LeMat-Bulk, functional PBE.

**Calculated total energy**: -3.140 eV/atom
**ΔE_f**: 0.2116 eV per atom
**Magnetization**: 0.00 μB/f.u.
**ρ**: 8.09 Mg/m³
**Space group**: F-43m

Unit cell a=5.015 b=5.015 c=5.015 alpha=60.00 beta=60.00 gamma=60.00
Element x y z (fractional)
Zn 0.376 0.376 0.376
Zn 0.376 0.376 0.872
Zn 0.376 0.872 0.376
Zn 0.872 0.376 0.376
Tc 0.750 0.750 0.750
As 0.000 0.000 0.000

***

An optimized crystal structure of RbCd2O2. Source: Alexandria via LeMat-Bulk, functional PBE.

**Calculated total energy**: -3.382 eV/atom
**Magnetization**: 0.00 μB/f.u.
**Polymorph energy (0 for the lowest one)**: 0 meV/atom
**ρ**: 5.54 Mg/m³
**Space group**: Fddd
**Formation energy (no corrections)**: -839 meV/atom

Unit cell a=7.466 b=6.467 c=6.406 alpha=70.89 beta=54.94 gamma=54.18
Element x y z (fractional)
Rb 0.125 0.125 0.125
Rb 0.875 0.875 0.875
Cd 0.237 0.513 0.237
Cd 0.487 0.763 0.487
Cd 0.513 0.237 0.513
Cd 0.763 0.487 0.763
O 0.188 0.188 0.562
O 0.438 0.438 0.812
O 0.562 0.562 0.188
O 0.812 0.812 0.438

***

An optimized crystal structure of TbEr2Tm5. Source: Alexandria via LeMat-Bulk, functional PBE.

**Calculated total energy**: -4.459 eV/atom
**ΔE_f**: 0.0553 eV per atom
**Magnetization**: 0.00 μB/f.u.
**Polymorph energy (0 for the lowest one)**: 30 meV/atom
**ρ**: 9.09 Mg/m³
**Space group**: P-1

Unit cell a=6.799 b=6.868 c=11.465 alpha=100.17 beta=100.71 gamma=106.53
Element x y z (fractional)
Tb 0.108 0.373 0.250
Tb 0.892 0.627 0.750
Er 0.274 0.067 0.019
Er 0.359 0.536 0.730
Er 0.641 0.464 0.270
Er 0.726 0.933 0.981
Tm 0.046 0.852 0.227
Tm 0.062 0.768 0.504
Tm 0.270 0.567 0.011
Tm 0.423 0.055 0.748
Tm 0.437 0.227 0.483
Tm 0.563 0.773 0.517
Tm 0.577 0.945 0.252
Tm 0.730 0.433 0.989
Tm 0.938 0.232 0.496
Tm 0.954 0.148 0.773

***

An optimized crystal structure of Ga2Hg2Bi. Source: Alexandria via LeMat-Bulk, functional PBE.

**Calculated total energy**: -1.971 eV/atom
**ΔE_f**: 0.1364 eV per atom
**Magnetization**: 0.00 μB/f.u.
**Polymorph energy (0 for the lowest one)**: 37 meV/atom
**ρ**: 9.99 Mg/m³
**Space group**: I4/mmm

Unit cell a=7.368 b=7.368 c=7.368 alpha=146.00 beta=146.00 gamma=48.85
Element x y z (fractional)
Ga 0.250 0.750 0.500
Ga 0.750 0.250 0.500
Hg 0.107 0.107 0.000
Hg 0.893 0.893 0.000
Bi 0.500 0.500 0.000